Record 1
A crystal of NaBi2Au2 relaxed with PBEsol. Source: the Alexandria database, functional meta-GGA SCAN.

Properties
**Density of states at the Fermi level**: 0.401 states/eV/atom
**Excess energy over the best structure of this formula in the dataset**: 0.1128 eV/atom
**Uncorrected energy**: -299.93 eV per formula unit
**Formation enthalpy at 0 K**: -4.6 kJ/mol of atoms
**Symmetry**: I4/mmm, No. 139
**Size of the total moment**: 0.00 μB/f.u.

```
NaBi2Au2
1.0
-2.004 2.447 2.595
-1.228 -3.268 2.133
7.867 0.907 1.995
Na Au Bi
1 2 2
direct
0.000 0.000 0.000
0.250 0.750 0.500
0.750 0.250 0.500
0.385 0.385 0.770
0.615 0.615 0.230
```

Record 2
A crystal of K2LaPdCl relaxed with PBEsol. Source: the Alexandria database, functional meta-GGA SCAN.

Properties
**Density of states at the Fermi level**: 0.882 states/eV/atom
**Formation energy (no corrections)**: -29.1 meV/atom
**Uncorrected energy**: -100.66 eV per formula unit
**Symmetry**: P4/mmm, No. 123
**Size of the total moment**: 0.13 μB/f.u.

```
K2LaPdCl
1.0
5.144 0.000 0.000
0.000 5.541 0.000
0.000 0.000 5.541
K Cl Pd La
2 1 1 1
direct
0.000 0.000 0.500
0.000 0.500 0.000
0.000 0.000 0.000
0.500 0.000 0.000
0.500 0.500 0.500
```

Record 3
A crystal of SrLiNi2 relaxed with PBEsol. Source: the Alexandria database, functional meta-GGA SCAN.

Properties
**Density of states at the Fermi level**: 0.483 states/eV/atom
**Excess energy over the best structure of this formula in the dataset**: 0.3994 eV/atom
**Uncorrected energy**: -55.23 eV per formula unit
**Formation enthalpy at 0 K**: 43.0 kJ/mol of atoms
**Symmetry**: Immm, No. 71
**Size of the total moment**: 0.00 μB/f.u.

```
SrLiNi2
1.0
-1.591 -3.701 -0.715
2.054 -1.505 3.225
-3.283 3.463 1.090
Li Ni Sr
1 2 1
direct
0.000 0.500 0.000
0.750 0.750 0.499
0.250 0.250 0.501
0.500 0.000 0.000
```

Record 4
A crystal of BeSbTe2Os relaxed with PBEsol. Source: the Alexandria database, functional meta-GGA SCAN.

Properties
**Density of states at the Fermi level**: 1.114 states/eV/atom
**Formation energy (no corrections)**: 1167.9 meV/atom
**Uncorrected energy**: -182.16 eV per formula unit
**Symmetry**: P4/mmm, No. 123
**Size of the total moment**: 0.00 μB/f.u.

```
BeSbTe2Os
1.0
4.944 0.000 0.000
0.000 5.285 0.000
0.000 0.000 5.285
Sb Te Os Be
1 2 1 1
direct
0.500 0.000 0.000
0.000 0.000 0.500
0.000 0.500 0.000
0.000 0.000 0.000
0.500 0.500 0.500
```

Record 5
A crystal of Ba2NaNb5O15 relaxed with PBEsol. Source: the Alexandria database, functional meta-GGA SCAN.

Properties
**Density of states at the Fermi level**: 0.000 states/eV/atom
**Formation energy (no corrections)**: -2895.7 meV/atom
**Uncorrected energy**: -409.03 eV per formula unit
**Symmetry**: P4bm, No. 100
**Size of the total moment**: 0.00 μB/f.u.

```
Ba2NaNb5O15
1.0
4.055 0.000 0.000
0.000 12.548 0.000
0.000 0.000 12.548
Ba Na Nb O
4 2 10 30
direct
0.191 0.329 0.829
0.191 0.829 0.671
0.191 0.171 0.329
0.191 0.671 0.171
0.146 0.500 0.500
0.146 0.000 0.000
0.678 0.000 0.500
0.678 0.500 0.000
0.683 0.792 0.924
0.683 0.208 0.076
0.683 0.076 0.792
0.683 0.924 0.208
0.683 0.576 0.708
0.683 0.708 0.424
0.683 0.292 0.576
0.683 0.424 0.292
0.220 0.000 0.500
0.220 0.500 0.000
0.224 0.705 0.420
0.224 0.295 0.580
0.224 0.580 0.705
0.224 0.420 0.295
0.224 0.080 0.795
0.224 0.795 0.920
0.224 0.205 0.080
0.224 0.920 0.205
0.738 0.859 0.068
0.738 0.141 0.932
0.738 0.932 0.859
0.738 0.068 0.141
0.738 0.432 0.641
0.738 0.641 0.568
0.731 0.507 0.157
0.731 0.157 0.493
0.731 0.843 0.507
0.731 0.493 0.843
0.731 0.007 0.343
0.731 0.993 0.657
0.731 0.343 0.993
0.731 0.657 0.007
0.723 0.780 0.280
0.723 0.280 0.220
0.723 0.720 0.780
0.723 0.220 0.720
0.738 0.568 0.359
0.738 0.359 0.432
```

Record 6
A crystal of NaLi2La3Ti6O18 relaxed with PBEsol. Source: the Alexandria database, functional meta-GGA SCAN.

Properties
**Density of states at the Fermi level**: 0.000 states/eV/atom
**Formation energy (no corrections)**: -3328.2 meV/atom
**Uncorrected energy**: -446.50 eV per formula unit
**Symmetry**: C2, No. 5
**Size of the total moment**: 0.00 μB/f.u.

```
NaLi2La3Ti6O18
1.0
5.470 0.000 0.000
-0.006 7.782 0.000
-2.732 -3.891 8.151
Na La Ti O Li
1 3 6 18 2
direct
0.750 0.750 0.499
0.412 0.412 0.825
0.423 0.923 0.846
0.082 0.582 0.165
0.244 0.504 0.498
0.911 0.160 0.826
0.594 0.835 0.174
0.255 0.995 0.498
0.915 0.666 0.826
0.580 0.340 0.174
0.148 0.086 0.699
0.254 0.254 0.508
0.551 0.613 0.699
0.780 0.734 0.017
0.597 0.060 0.653
0.924 0.924 0.848
0.915 0.415 0.830
0.236 0.283 0.017
0.056 0.593 0.653
0.454 0.423 0.352
0.277 0.721 0.973
0.588 0.588 0.176
0.579 0.079 0.158
0.898 0.929 0.352
0.696 0.253 0.973
0.943 0.402 0.307
0.241 0.741 0.483
0.364 0.905 0.307
0.921 0.166 0.331
0.410 0.165 0.331
```

Record 7
A crystal of Cr5Os relaxed with PBEsol. Source: the Alexandria database, functional meta-GGA SCAN.

Properties
**Density of states at the Fermi level**: 0.388 states/eV/atom
**Excess energy over the best structure of this formula in the dataset**: 0.0000 eV/atom
**Uncorrected energy**: -164.30 eV per formula unit
**Formation enthalpy at 0 K**: -8.0 kJ/mol of atoms
**Symmetry**: P4/mmm, No. 123
**Size of the total moment**: 1.40 μB/f.u.

```
Cr5Os
1.0
2.832 0.000 0.000
0.000 2.832 0.000
0.000 0.000 8.706
Cr Os
5 1
direct
0.000 0.000 0.814
0.000 0.000 0.186
0.500 0.500 0.661
0.500 0.500 0.339
0.000 0.000 0.500
0.500 0.500 0.000
```

Record 8
A crystal of TaPCl2 relaxed with PBEsol. Source: the Alexandria database, functional meta-GGA SCAN.

Properties
**Density of states at the Fermi level**: 0.730 states/eV/atom
**Excess energy over the best structure of this formula in the dataset**: 1.0090 eV/atom
**Formation energy (no corrections)**: 424.8 meV/atom
**Uncorrected energy**: -91.24 eV per formula unit
**Symmetry**: Pmmm, No. 47
**Size of the total moment**: 0.00 μB/f.u.

```
TaPCl2
1.0
-2.616 1.201 0.522
0.502 -0.789 4.326
2.147 4.434 0.560
Cl P Ta
2 1 1
direct
0.000 0.000 0.000
0.500 0.000 0.500
0.500 0.500 0.000
0.000 0.500 0.500
```

Record 9
A crystal of AlRh relaxed with PBEsol. Source: the Alexandria database, functional meta-GGA SCAN.

Properties
**Density of states at the Fermi level**: 0.192 states/eV/atom
**Uncorrected energy**: -43.65 eV per formula unit
**Formation enthalpy at 0 K**: -102.6 kJ/mol of atoms
**Symmetry**: Pmma, No. 51
**Size of the total moment**: 0.00 μB/f.u.

```
AlRh
1.0
-3.564 -0.721 1.564
1.561 -4.651 1.415
1.661 1.987 4.701
Al Rh
4 4
direct
0.000 0.673 0.750
0.500 0.000 0.000
0.000 0.327 0.250
0.500 0.000 0.500
0.500 0.500 0.500
0.000 0.827 0.250
0.000 0.173 0.750
0.500 0.500 0.000
```

Record 10
A crystal of SrCdAg2 relaxed with PBEsol. Source: the Alexandria database, functional meta-GGA SCAN.

Properties
**Density of states at the Fermi level**: 0.424 states/eV/atom
**Uncorrected energy**: -115.86 eV per formula unit
**Formation enthalpy at 0 K**: -10.6 kJ/mol of atoms
**Symmetry**: F-43m, No. 216
**Size of the total moment**: 0.00 μB/f.u.

```
SrCdAg2
1.0
5.048 0.000 0.000
2.524 4.371 0.000
2.524 1.457 4.121
Ag Cd Sr
2 1 1
direct
0.000 0.000 0.000
0.750 0.750 0.750
0.500 0.500 0.500
0.250 0.250 0.250
```

Record 11
A crystal of Na8TiAs4 relaxed with PBEsol. Source: the Alexandria database, functional meta-GGA SCAN.

Properties
**Density of states at the Fermi level**: 0.000 states/eV/atom
**Uncorrected energy**: -138.94 eV per formula unit
**Formation enthalpy at 0 K**: -62.5 kJ/mol of atoms
**Symmetry**: Fd-3m, No. 227
**Size of the total moment**: 0.00 μB/f.u.

```
Na8TiAs4
1.0
9.678 0.000 0.000
4.839 8.381 0.000
4.839 2.794 7.902
Na Ti As
16 2 8
direct
0.125 0.625 0.125
0.125 0.125 0.625
0.125 0.125 0.125
0.625 0.125 0.125
0.530 0.970 0.970
0.280 0.720 0.720
0.530 0.970 0.530
0.530 0.530 0.970
0.970 0.970 0.530
0.970 0.530 0.970
0.970 0.530 0.530
0.720 0.280 0.720
0.280 0.720 0.280
0.280 0.280 0.720
0.720 0.720 0.280
0.720 0.280 0.280
0.250 0.250 0.250
0.000 0.000 0.000
0.355 0.935 0.355
0.355 0.355 0.935
0.895 0.315 0.895
0.895 0.895 0.315
0.895 0.895 0.895
0.935 0.355 0.355
0.355 0.355 0.355
0.315 0.895 0.895
```

Record 12
A crystal of Cu2Au relaxed with PBEsol. Source: the Alexandria database, functional meta-GGA SCAN.

Properties
**Density of states at the Fermi level**: 0.318 states/eV/atom
**Excess energy over the best structure of this formula in the dataset**: 0.0707 eV/atom
**Uncorrected energy**: -99.56 eV per formula unit
**Formation enthalpy at 0 K**: -0.2 kJ/mol of atoms
**Symmetry**: Cm, No. 8
**Size of the total moment**: 0.00 μB/f.u.

```
Cu2Au
1.0
-0.258 2.703 -0.063
-4.631 -1.826 -0.849
0.468 0.192 6.291
Au Cu
2 4
direct
0.995 0.990 0.992
0.676 0.353 0.350
0.392 0.784 0.282
0.049 0.099 0.609
0.335 0.669 0.670
0.719 0.438 0.930
```

- What is the formula in the first record?
  NaBi2Au2